No. 1
PmTh2S4 | the Alexandria database | PBE-GGA | optimized geometry; V = 175.7 Å³/f.u.; E = -7.02 eV per atom; formation energy (no corrections) = -13.1 eV per formula unit; symmetry = Cmcm (63); N(E_F) = 0.657 states/eV/atom
1.0
1.951 -6.688 0.000
1.951 6.688 0.000
0.000 0.000 13.465
Pm Th S
2 4 8
Cartesian
1.951 5.042 10.099
1.951 -5.042 3.366
1.951 1.845 7.640
1.951 1.845 12.558
1.951 -1.845 0.907
1.951 -1.845 5.825
0.000 0.000 0.000
0.000 0.000 6.732
1.951 2.949 1.739
1.951 2.949 4.993
1.951 0.438 10.099
1.951 -0.438 3.366
1.951 -2.949 8.472
1.951 -2.949 11.725

No. 2
Pm3ThS4 | the Alexandria database | PBE-GGA | optimized geometry; V = 185.7 Å³/f.u.; E = -6.75 eV per atom; formation energy (no corrections) = -15.8 eV per formula unit; symmetry = Cmmm (65); N(E_F) = 0.404 states/eV/atom
1.0
4.050 -5.709 0.000
4.050 5.709 0.000
0.000 0.000 4.016
Pm Th S
3 1 4
Cartesian
0.000 0.000 0.000
2.025 2.854 2.008
2.025 -2.854 2.008
4.050 0.000 0.000
2.015 0.000 2.008
4.050 2.856 0.000
4.050 -2.856 0.000
6.084 0.000 2.008

No. 3
Pm4Th3S8 | the Alexandria database | PBE-GGA | optimized geometry; V = 368.3 Å³/f.u.; E = -6.92 eV per atom; formation energy (no corrections) = -29.6 eV per formula unit; symmetry = C2/m (12); N(E_F) = 0.610 states/eV/atom
1.0
5.681 -5.689 0.000
5.681 5.689 0.000
-5.679 0.000 5.697
Pm Th S
4 3 8
Cartesian
0.000 0.000 0.000
-2.840 0.000 2.849
2.840 2.845 0.000
2.840 -2.845 0.000
0.001 2.845 2.849
0.001 -2.845 2.849
5.681 0.000 0.000
5.681 2.855 0.000
2.850 0.000 0.016
2.841 2.818 2.849
0.044 0.000 2.843
5.639 0.000 2.854
2.841 -2.818 2.849
2.833 0.000 5.681
5.681 -2.855 0.000

No. 4
Pm3Tm2ThS6 | the Alexandria database | PBE-GGA | optimized geometry; V = 266.7 Å³/f.u.; E = -6.58 eV per atom; formation energy (no corrections) = -23.5 eV per formula unit; symmetry = C2/m (12); N(E_F) = 0.486 states/eV/atom
1.0
8.654 -1.978 0.000
8.654 1.978 0.000
-1.815 0.000 7.790
Pm Tm Th S
3 2 1 6
Cartesian
0.000 0.000 0.000
4.642 0.000 5.190
10.850 0.000 2.600
5.476 0.000 1.315
10.016 0.000 6.475
-0.907 0.000 3.895
1.854 0.000 4.661
2.834 0.000 0.573
8.102 0.000 1.899
7.391 0.000 5.891
12.658 0.000 7.217
13.639 0.000 3.129

No. 5
Pm2TmThS4 | the Alexandria database | PBE-GGA | optimized geometry; V = 179.8 Å³/f.u.; E = -6.68 eV per atom; formation energy (no corrections) = -15.6 eV per formula unit; symmetry = P2/m (10); N(E_F) = 0.448 states/eV/atom
1.0
6.897 0.000 0.000
0.000 3.959 0.000
-2.280 0.000 6.587
Pm Tm Th S
2 1 1 4
Cartesian
0.000 0.000 0.000
-1.140 1.979 3.293
2.309 0.000 3.293
3.448 1.979 0.000
0.066 0.000 4.885
1.208 1.979 1.735
3.409 1.979 4.852
4.551 0.000 1.702

No. 6
PmTm2Th3S6 | the Alexandria database | PBE-GGA | optimized geometry; V = 266.7 Å³/f.u.; E = -6.95 eV per atom; formation energy (no corrections) = -22.7 eV per formula unit; symmetry = C2/m (12); N(E_F) = 0.587 states/eV/atom
1.0
3.388 -5.836 0.000
3.388 5.836 0.000
-2.235 0.000 6.743
Pm Tm Th S
1 2 3 6
Cartesian
0.000 0.000 0.000
3.388 1.952 0.000
3.388 -1.952 0.000
2.271 3.942 3.371
2.271 0.000 3.371
2.271 -3.942 3.371
1.170 2.006 1.584
0.090 0.000 5.196
1.170 -2.006 1.584
3.372 2.006 5.159
4.452 0.000 1.547
3.372 -2.006 5.159